Entry 1:
## HgBiPb (GGA-PBE)

Data for crystalline HgBiPb at its relaxed geometry.

a = 3.444 Å, b = 3.444 Å, c = 7.959 Å
α = 102.49°, β = 102.49°, γ = 90.00°
Fractional coordinates of all 3 atoms:
1 Pb 0.281 0.281 0.562
2 Bi 0.951 0.951 0.901
3 Hg 0.618 0.618 0.237

M_tot, μB per formula unit: 0.00
Calculated formation energy, eV/f.u.: 0.1
VASP energy, eV/atom: -2.590
E above lowest polymorph, eV/atom: 0.028
D(E_F), states/eV/f.u.: 1.07

Entry 2:
## SrSm2Ga (GGA-PBE)

Data for crystalline SrSm2Ga at its relaxed geometry.

a = 3.737 Å, b = 3.737 Å, c = 9.626 Å
α = 90.00°, β = 90.00°, γ = 90.00°
Fractional coordinates of all 4 atoms:
1 Sr 0.500 0.500 0.500
2 Ga 0.500 0.500 0.000
3 Sm 0.000 0.000 0.823
4 Sm 0.000 0.000 0.177

M_tot, μB per formula unit: 0.00
Calculated formation energy, eV/f.u.: -0.7
VASP energy, eV/atom: -3.719
E above lowest polymorph, eV/atom: 0.000
D(E_F), states/eV/f.u.: 5.23

no.,theoretical density (kg/m3)
1,11397
2,5659